VASP calculation (GGA-PBE) on a geometry-optimized Tc2PtRh structure.

Calculated values
E in eV/atom: -8.3073
Space group: F-43m
Crystal system: cubic
Energy relative to the elements in eV per atom: 0.224
ΔE to the lowest computed polymorph in meV/atom: 391

a b c (Å): 4.391 4.391 4.391
angles (deg): 60.00 60.00 60.00
Atoms (fractional coordinates):
Tc1 0.250 0.250 0.250
Tc2 0.000 0.000 0.000
Pt1 0.500 0.500 0.500
Rh1 0.750 0.750 0.750



VASP calculation (GGA-PBE) on a geometry-optimized TcPtRh2 structure.

Calculated values
E in eV/atom: -7.8800
Space group: Pmm2
Crystal system: orthorhombic
Energy relative to the elements in eV per atom: -0.103
ΔE to the lowest computed polymorph in meV/atom: 42

a b c (Å): 2.721 3.916 5.460
angles (deg): 90.00 90.00 90.00
Atoms (fractional coordinates):
Rh1 0.500 0.500 0.258
Rh2 0.000 0.000 0.004
Tc1 0.000 0.000 0.491
Pt1 0.500 0.500 0.747



VASP calculation (GGA-PBE) on a geometry-optimized TcPtRh2 structure.

Calculated values
E in eV/atom: -7.8267
Space group: Cmmm
Crystal system: orthorhombic
Energy relative to the elements in eV per atom: -0.049
ΔE to the lowest computed polymorph in meV/atom: 95

a b c (Å): 4.762 4.762 2.725
angles (deg): 90.00 90.00 109.58
Atoms (fractional coordinates):
Tc1 0.500 0.000 0.500
Pt1 0.000 0.500 0.500
Rh1 0.500 0.500 0.000
Rh2 0.000 0.000 0.000



VASP calculation (GGA-PBE) on a geometry-optimized Tc2PtRh structure.

Calculated values
E in eV/atom: -8.5632
Space group: R-3m
Crystal system: trigonal
Energy relative to the elements in eV per atom: -0.032
ΔE to the lowest computed polymorph in meV/atom: 135

a b c (Å): 9.116 9.116 9.116
angles (deg): 17.32 17.32 17.32
Atoms (fractional coordinates):
Pt1 0.250 0.250 0.250
Rh1 0.750 0.750 0.750
Tc1 0.498 0.498 0.498
Tc2 0.002 0.002 0.002



VASP calculation (GGA-PBE) on a geometry-optimized Tc2Pt3Rh4 structure.

Calculated values
E in eV/atom: -7.7268
Space group: C2/m
Crystal system: monoclinic
Energy relative to the elements in eV per atom: -0.142
ΔE to the lowest computed polymorph in meV/atom: 0

a b c (Å): 3.864 6.179 6.152
angles (deg): 107.45 108.30 90.00
Atoms (fractional coordinates):
Pt1 0.000 0.000 0.000
Pt2 0.112 0.668 0.225
Pt3 0.888 0.332 0.775
Tc1 0.324 0.999 0.649
Tc2 0.676 0.001 0.351
Rh1 0.556 0.324 0.112
Rh2 0.444 0.676 0.888
Rh3 0.219 0.322 0.438
Rh4 0.781 0.678 0.562



VASP calculation (GGA-PBE) on a geometry-optimized TcPt2Rh structure.

Calculated values
E in eV/atom: -7.2465
Space group: F-43m
Crystal system: cubic
Energy relative to the elements in eV per atom: 0.203
ΔE to the lowest computed polymorph in meV/atom: 372

a b c (Å): 4.432 4.432 4.432
angles (deg): 60.00 60.00 60.00
Atoms (fractional coordinates):
Pt1 0.000 0.000 0.000
Pt2 0.250 0.250 0.250
Tc1 0.750 0.750 0.750
Rh1 0.500 0.500 0.500



VASP calculation (GGA-PBE) on a geometry-optimized Tc2PtRh7 structure.

Calculated values
E in eV/atom: -7.1683
Space group: Cmmm
Crystal system: orthorhombic
Energy relative to the elements in eV per atom: 0.655

a b c (Å): 3.852 7.500 7.500
angles (deg): 124.36 90.00 90.00
Atoms (fractional coordinates):
Pt1 0.000 0.000 0.000
Rh1 0.000 0.199 0.801
Rh2 0.500 0.915 0.702
Rh3 0.500 0.702 0.915
Rh4 0.500 0.085 0.298
Rh5 0.000 0.801 0.199
Rh6 0.500 0.298 0.085
Rh7 0.500 0.500 0.500
Tc1 0.500 0.693 0.307
Tc2 0.500 0.307 0.693



VASP calculation (GGA-PBE) on a geometry-optimized Tc4PtRh structure.

Calculated values
E in eV/atom: -8.8621
Space group: F-43m
Crystal system: cubic
Energy relative to the elements in eV per atom: 0.281

a b c (Å): 5.073 5.073 5.073
angles (deg): 60.00 60.00 60.00
Atoms (fractional coordinates):
Tc1 0.625 0.126 0.625
Tc2 0.126 0.625 0.625
Tc3 0.625 0.625 0.126
Tc4 0.625 0.625 0.625
Rh1 0.000 0.000 0.000
Pt1 0.250 0.250 0.250